NdTcB (PBE, optimized geometry); space-group type = No. 139; distance to the lowest polymorph of the same formula = 0.0000 eV/atom
1.0
-1.858 1.858 7.954
1.858 -1.858 7.954
1.858 1.858 -7.954
Nd Tc B
2 2 2
Direct
0.160 0.160 0.000
0.840 0.840 0.000
0.000 0.500 0.500
0.500 0.000 0.500
0.410 0.410 0.000
0.590 0.590 0.000

***

NdTcB14 (PBE, optimized geometry); space-group type = No. 74
1.0
-2.946 5.448 4.150
2.946 -5.448 4.150
2.946 5.448 -4.150
Nd Tc B
2 2 28
Direct
0.376 0.126 0.250
0.624 0.874 0.750
0.000 0.000 0.500
0.000 0.500 0.000
0.012 0.133 0.879
0.028 0.204 0.331
0.028 0.697 0.824
0.085 0.668 0.417
0.201 0.535 0.666
0.222 0.499 0.400
0.222 0.822 0.723
0.246 0.867 0.379
0.249 0.332 0.917
0.369 0.535 0.834
0.373 0.204 0.676
0.373 0.697 0.169
0.401 0.178 0.900
0.401 0.501 0.223
0.599 0.499 0.777
0.599 0.822 0.100
0.627 0.303 0.831
0.627 0.796 0.324
0.631 0.465 0.166
0.751 0.668 0.083
0.754 0.133 0.621
0.778 0.178 0.277
0.778 0.501 0.600
0.799 0.465 0.334
0.915 0.332 0.583
0.972 0.303 0.176
0.972 0.796 0.669
0.988 0.867 0.121

***

NdTmB12 (PBE, optimized geometry); space-group type = No. 123
1.0
4.108 0.000 0.000
0.000 4.108 0.000
0.000 0.000 8.219
Nd Tm B
1 1 12
Direct
0.000 0.000 0.000
0.000 0.000 0.500
0.199 0.500 0.253
0.199 0.500 0.747
0.500 0.199 0.253
0.500 0.199 0.747
0.500 0.500 0.100
0.500 0.500 0.402
0.500 0.500 0.598
0.500 0.500 0.900
0.500 0.801 0.253
0.500 0.801 0.747
0.801 0.500 0.253
0.801 0.500 0.747

***

NdTm3B (PBE, optimized geometry); space-group type = No. 221
1.0
5.108 0.000 0.000
0.000 5.108 0.000
0.000 0.000 5.108
Nd Tm B
1 3 1
Direct
0.000 0.000 0.000
0.000 0.500 0.500
0.500 0.000 0.500
0.500 0.500 0.000
0.500 0.500 0.500

***

NdUB12 (PBE, optimized geometry); space-group type = No. 123
1.0
4.102 0.000 0.000
0.000 4.102 0.000
0.000 0.000 8.216
Nd U B
1 1 12
Direct
0.000 0.000 0.000
0.000 0.000 0.500
0.198 0.500 0.252
0.198 0.500 0.748
0.500 0.198 0.252
0.500 0.198 0.748
0.500 0.500 0.100
0.500 0.500 0.402
0.500 0.500 0.598
0.500 0.500 0.900
0.500 0.802 0.252
0.500 0.802 0.748
0.802 0.500 0.252
0.802 0.500 0.748

***

NdVB14 (PBE, optimized geometry); space-group type = No. 74
1.0
-2.921 5.419 4.131
2.921 -5.419 4.131
2.921 5.419 -4.131
Nd V B
2 2 28
Direct
0.382 0.132 0.250
0.618 0.868 0.750
0.000 0.000 0.500
0.000 0.500 0.000
0.006 0.133 0.873
0.028 0.202 0.329
0.028 0.699 0.826
0.084 0.668 0.416
0.197 0.529 0.667
0.222 0.500 0.401
0.222 0.821 0.722
0.241 0.867 0.373
0.248 0.332 0.916
0.362 0.529 0.833
0.373 0.202 0.674
0.373 0.699 0.171
0.401 0.179 0.901
0.401 0.500 0.222
0.599 0.500 0.778
0.599 0.821 0.099
0.627 0.301 0.829
0.627 0.798 0.326
0.638 0.471 0.167
0.752 0.668 0.084
0.759 0.133 0.627
0.778 0.179 0.278
0.778 0.500 0.599
0.803 0.471 0.333
0.916 0.332 0.584
0.972 0.301 0.174
0.972 0.798 0.671
0.994 0.867 0.127

***

NdB4W (PBE, optimized geometry); space-group type = No. 55
1.0
6.136 0.000 0.000
0.000 11.867 0.000
0.000 0.000 3.701
Nd B W
4 16 4
Direct
0.125 0.150 0.000
0.375 0.650 0.000
0.625 0.350 0.000
0.875 0.850 0.000
0.025 0.691 0.500
0.112 0.546 0.500
0.137 0.968 0.500
0.218 0.815 0.500
0.282 0.315 0.500
0.363 0.468 0.500
0.388 0.046 0.500
0.475 0.191 0.500
0.525 0.809 0.500
0.612 0.954 0.500
0.637 0.532 0.500
0.718 0.685 0.500
0.782 0.185 0.500
0.863 0.032 0.500
0.888 0.454 0.500
0.975 0.309 0.500
0.128 0.417 0.000
0.372 0.917 0.000
0.628 0.083 0.000
0.872 0.583 0.000

***

NdBW (PBE, optimized geometry); space-group type = No. 129
1.0
3.701 0.000 0.000
0.000 3.701 0.000
0.000 0.000 8.728
Nd B W
2 2 2
Direct
0.250 0.250 0.184
0.750 0.750 0.816
0.250 0.250 0.669
0.750 0.750 0.331
0.250 0.750 0.500
0.750 0.250 0.500

***

Nd2B10W (PBE, optimized geometry); space-group type = No. 55
1.0
5.883 0.000 0.000
0.000 11.721 0.000
0.000 0.000 4.163
Nd B W
4 20 2
Direct
0.205 0.141 0.000
0.295 0.641 0.000
0.705 0.359 0.000
0.795 0.859 0.000
0.068 0.306 0.500
0.118 0.958 0.500
0.124 0.802 0.500
0.231 0.380 0.202
0.231 0.380 0.798
0.269 0.880 0.202
0.269 0.880 0.798
0.376 0.302 0.500
0.382 0.458 0.500
0.432 0.806 0.500
0.568 0.194 0.500
0.618 0.542 0.500
0.624 0.698 0.500
0.731 0.120 0.202
0.731 0.120 0.798
0.769 0.620 0.202
0.769 0.620 0.798
0.876 0.198 0.500
0.882 0.042 0.500
0.932 0.694 0.500
0.000 0.500 0.500
0.500 0.000 0.500

***

NdB2W (PBE, optimized geometry); space-group type = No. 166
1.0
1.703 0.983 5.987
-1.703 0.983 5.987
0.000 -1.966 5.987
Nd B W
1 2 1
Direct
0.000 0.000 0.000
0.230 0.230 0.230
0.770 0.770 0.770
0.500 0.500 0.500

***

NdY2B6 (PBE, optimized geometry); space-group type = No. 191
1.0
5.744 0.000 0.000
-2.872 4.975 0.000
0.000 0.000 3.966
Nd Y B
1 2 6
Direct
0.000 0.000 0.000
0.333 0.667 0.000
0.667 0.333 0.000
0.000 0.339 0.500
0.000 0.661 0.500
0.339 0.000 0.500
0.339 0.339 0.500
0.661 0.000 0.500
0.661 0.661 0.500

***

NdYB12 (PBE, optimized geometry); space-group type = No. 123
1.0
4.118 0.000 0.000
0.000 4.118 0.000
0.000 0.000 8.238
Nd Y B
1 1 12
Direct
0.000 0.000 0.000
0.000 0.000 0.500
0.199 0.500 0.252
0.199 0.500 0.748
0.500 0.199 0.252
0.500 0.199 0.748
0.500 0.500 0.100
0.500 0.500 0.401
0.500 0.500 0.599
0.500 0.500 0.900
0.500 0.801 0.252
0.500 0.801 0.748
0.801 0.500 0.252
0.801 0.500 0.748

***

Per-record DFT total energy, eV per atom: -7.353 -6.888 -6.794 -4.942 -7.244 -6.903 -7.904 -8.180 -7.181 -7.691 -6.879 -6.963